# Sr12Pt3F5

An optimized crystal structure of Sr12Pt3F5 (PBE, Alexandria).

Computed properties:
Final energy ... -4.03 eV per atom
SG ... Ia-3d (230)
Energy relative to the elements, uncorrected ... -1.648 eV/atom

Unit cell a=14.6016 b=14.6016 c=14.6016 alpha=109.47 beta=109.47 gamma=109.47
With the nearest neighbours (Å) after each atom.
Atoms (fractional coordinates):
1 Sr 0.0307 0.2154 0.1262  1 F 2.48
2 Sr 0.0307 0.3153 0.9045  1 F 2.48
3 Sr 0.0892 0.7154 0.6847  1 F 2.48
4 Sr 0.0892 0.8738 0.4045  1 F 2.48
5 Sr 0.0955 0.6262 0.4108  1 F 2.48
6 Sr 0.0955 0.9693 0.6847  1 F 2.48
7 Sr 0.1262 0.0307 0.2154  1 F 2.48
8 Sr 0.1262 0.5955 0.9108  1 F 2.48
9 Sr 0.1847 0.2154 0.5892  1 F 2.48
10 Sr 0.1847 0.4693 0.5955  1 F 2.48
11 Sr 0.2154 0.1262 0.0307  1 F 2.48
12 Sr 0.2154 0.5892 0.1847  1 F 2.48
13 Sr 0.2846 0.3153 0.9108  1 F 2.48
14 Sr 0.2846 0.4693 0.3738  1 F 2.48
15 Sr 0.3153 0.9045 0.0307  1 F 2.48
16 Sr 0.3153 0.9108 0.2846  1 F 2.48
17 Sr 0.3738 0.2846 0.4693  1 F 2.48
18 Sr 0.3738 0.5892 0.9045  1 F 2.48
19 Sr 0.4045 0.0892 0.8738  1 F 2.48
20 Sr 0.4045 0.8153 0.5307  1 F 2.48
21 Sr 0.4108 0.0955 0.6262  1 F 2.48
22 Sr 0.4108 0.8153 0.7846  1 F 2.48
23 Sr 0.4693 0.3738 0.2846  1 F 2.48
24 Sr 0.4693 0.5955 0.1847  1 F 2.48
25 Sr 0.5307 0.4045 0.8153  1 F 2.48
26 Sr 0.5307 0.6262 0.7154  1 F 2.48
27 Sr 0.5892 0.1847 0.2154  1 F 2.48
28 Sr 0.5892 0.9045 0.3738  1 F 2.48
29 Sr 0.5955 0.1847 0.4693  1 F 2.48
30 Sr 0.5955 0.9108 0.1262  1 F 2.48
31 Sr 0.6262 0.4108 0.0955  1 F 2.48
32 Sr 0.6262 0.7154 0.5307  1 F 2.48
33 Sr 0.6847 0.0892 0.7154  1 F 2.48
34 Sr 0.6847 0.0955 0.9693  1 F 2.48
35 Sr 0.7154 0.5307 0.6262  1 F 2.48
36 Sr 0.7154 0.6847 0.0892  1 F 2.48
37 Sr 0.7846 0.4108 0.8153  1 F 2.48
38 Sr 0.7846 0.8738 0.9693  1 F 2.48
39 Sr 0.8153 0.5307 0.4045  1 F 2.48
40 Sr 0.8153 0.7846 0.4108  1 F 2.48
41 Sr 0.8738 0.4045 0.0892  1 F 2.48
42 Sr 0.8738 0.9693 0.7846  1 F 2.48
43 Sr 0.9045 0.0307 0.3153  1 F 2.48
44 Sr 0.9045 0.3738 0.5892  1 F 2.48
45 Sr 0.9108 0.1262 0.5955  1 F 2.48
46 Sr 0.9108 0.2846 0.3153  1 F 2.48
47 Sr 0.9693 0.6847 0.0955  1 F 2.48
48 Sr 0.9693 0.7846 0.8738  1 F 2.48
49 Pt 0.1250 0.2500 0.3750  8 Sr 3.21-3.28
50 Pt 0.1250 0.3750 0.7500  8 Sr 3.21-3.28
51 Pt 0.2500 0.3750 0.1250  8 Sr 3.21-3.28
52 Pt 0.2500 0.8750 0.6250  8 Sr 3.21-3.28
53 Pt 0.3750 0.1250 0.2500  8 Sr 3.21-3.28
54 Pt 0.3750 0.7500 0.1250  8 Sr 3.21-3.28
55 Pt 0.6250 0.2500 0.8750  8 Sr 3.21-3.28
56 Pt 0.6250 0.8750 0.7500  8 Sr 3.21-3.28
57 Pt 0.7500 0.1250 0.3750  8 Sr 3.21-3.28
58 Pt 0.7500 0.6250 0.8750  8 Sr 3.21-3.28
59 Pt 0.8750 0.6250 0.2500  8 Sr 3.21-3.28
60 Pt 0.8750 0.7500 0.6250  8 Sr 3.21-3.28
61 F 0.0000 0.0000 0.0000  6 Sr 2.85
62 F 0.0000 0.0000 0.5000  6 Sr 2.85
63 F 0.0000 0.5000 0.0000  6 Sr 2.85
64 F 0.0000 0.5000 0.5000  6 Sr 2.85
65 F 0.1250 0.7500 0.8750  4 Sr 2.48
66 F 0.1250 0.8750 0.2500  4 Sr 2.48
67 F 0.2500 0.1250 0.8750  4 Sr 2.48
68 F 0.2500 0.6250 0.3750  4 Sr 2.48
69 F 0.3750 0.2500 0.6250  4 Sr 2.48
70 F 0.3750 0.6250 0.7500  4 Sr 2.48
71 F 0.5000 0.0000 0.0000  6 Sr 2.85
72 F 0.5000 0.0000 0.5000  6 Sr 2.85
73 F 0.5000 0.5000 0.0000  6 Sr 2.85
74 F 0.5000 0.5000 0.5000  6 Sr 2.85
75 F 0.6250 0.3750 0.2500  4 Sr 2.48
76 F 0.6250 0.7500 0.3750  4 Sr 2.48
77 F 0.7500 0.3750 0.6250  4 Sr 2.48
78 F 0.7500 0.8750 0.1250  4 Sr 2.48
79 F 0.8750 0.1250 0.7500  4 Sr 2.48
80 F 0.8750 0.2500 0.1250  4 Sr 2.48


# SrTe2PtF

An optimized crystal structure of SrTe2PtF (PBE, Alexandria).

Computed properties:
Final energy ... -3.73 eV per atom
SG ... P4/mmm (123)
Energy relative to the elements, uncorrected ... -0.556 eV/atom

Unit cell a=5.1893 b=5.1893 c=4.6247 alpha=90.00 beta=90.00 gamma=90.00
With the nearest neighbours (Å) after each atom.
Atoms (fractional coordinates):
1 Sr 0.0000 0.0000 0.0000  2 F 2.31
2 Te 0.0000 0.5000 0.5000  2 F 2.59
3 Te 0.5000 0.0000 0.5000  2 F 2.59
4 Pt 0.5000 0.5000 0.0000  8 Te 3.48, 4 Sr 3.67
5 F 0.0000 0.0000 0.5000  2 Sr 2.31


# TaPt3F

An optimized crystal structure of TaPt3F (PBE, Alexandria).

Computed properties:
Final energy ... -5.47 eV per atom
SG ... Pm-3m (221)
ΔE to the lowest computed polymorph ... 32.11 kJ per mole of atoms
Energy relative to the elements, uncorrected ... 0.900 eV/atom

Unit cell a=4.8777 b=4.8777 c=4.8777 alpha=90.00 beta=90.00 gamma=90.00
With the nearest neighbours (Å) after each atom.
Atoms (fractional coordinates):
1 Ta 0.0000 0.0000 0.0000  6 Pt 2.44
2 Pt 0.0000 0.0000 0.5000  2 Ta 2.44
3 Pt 0.0000 0.5000 0.0000  2 Ta 2.44
4 Pt 0.5000 0.0000 0.0000  2 Ta 2.44
5 F 0.5000 0.5000 0.5000  12 Pt 3.45


# TaPtF2

An optimized crystal structure of TaPtF2 (PBE, Alexandria).

Computed properties:
Final energy ... -5.80 eV per atom
SG ... Fm-3m (225)
ΔE to the lowest computed polymorph ... 83.48 kJ per mole of atoms
Energy relative to the elements, uncorrected ... -0.390 eV/atom

Unit cell a=5.9317 b=5.9317 c=5.9317 alpha=90.00 beta=90.00 gamma=90.00
With the nearest neighbours (Å) after each atom.
Atoms (fractional coordinates):
1 Ta 0.0000 0.0000 0.0000  8 F 2.57
2 Ta 0.0000 0.5000 0.5000  8 F 2.57
3 Ta 0.5000 0.0000 0.5000  8 F 2.57
4 Ta 0.5000 0.5000 0.0000  8 F 2.57
5 Pt 0.0000 0.0000 0.5000  8 F 2.57
6 Pt 0.0000 0.5000 0.0000  8 F 2.57
7 Pt 0.5000 0.0000 0.0000  8 F 2.57
8 Pt 0.5000 0.5000 0.5000  8 F 2.57
9 F 0.2500 0.2500 0.2500  4 Ta 2.57, 4 Pt 2.57
10 F 0.2500 0.2500 0.7500  4 Ta 2.57, 4 Pt 2.57
11 F 0.2500 0.7500 0.2500  4 Ta 2.57, 4 Pt 2.57
12 F 0.2500 0.7500 0.7500  4 Ta 2.57, 4 Pt 2.57
13 F 0.7500 0.2500 0.2500  4 Ta 2.57, 4 Pt 2.57
14 F 0.7500 0.2500 0.7500  4 Ta 2.57, 4 Pt 2.57
15 F 0.7500 0.7500 0.2500  4 Ta 2.57, 4 Pt 2.57
16 F 0.7500 0.7500 0.7500  4 Ta 2.57, 4 Pt 2.57


# TaPtF2

An optimized crystal structure of TaPtF2 (PBE, Alexandria).

Computed properties:
Final energy ... -6.45 eV per atom
SG ... I-42d (122)
ΔE to the lowest computed polymorph ... 20.44 kJ per mole of atoms
Energy relative to the elements, uncorrected ... -1.043 eV/atom

Unit cell a=3.8967 b=3.8967 c=14.9905 alpha=90.00 beta=90.00 gamma=90.00
With the nearest neighbours (Å) after each atom.
Atoms (fractional coordinates):
1 Ta 0.0000 0.0000 0.0000  4 F 2.17
2 Ta 0.0000 0.5000 0.2500  4 F 2.17
3 Ta 0.5000 0.0000 0.7500  4 F 2.17
4 Ta 0.5000 0.5000 0.5000  4 F 2.17
5 Pt 0.0000 0.0000 0.5000  4 F 2.56, 4 Ta 2.76
6 Pt 0.0000 0.5000 0.7500  4 F 2.56, 4 Ta 2.76
7 Pt 0.5000 0.0000 0.2500  4 F 2.56, 4 Ta 2.76
8 Pt 0.5000 0.5000 0.0000  4 F 2.56, 4 Ta 2.76
9 F 0.1302 0.2500 0.1250  2 Ta 2.17, 2 F 2.20
10 F 0.2500 0.6302 0.3750  2 Ta 2.17, 2 F 2.20
11 F 0.2500 0.8698 0.8750  2 Ta 2.17, 2 F 2.20
12 F 0.3698 0.2500 0.6250  2 Ta 2.17, 2 F 2.20
13 F 0.6302 0.7500 0.6250  2 Ta 2.17, 2 F 2.20
14 F 0.7500 0.1302 0.8750  2 Ta 2.17, 2 F 2.20
15 F 0.7500 0.3698 0.3750  2 Ta 2.17, 2 F 2.20
16 F 0.8698 0.7500 0.1250  2 Ta 2.17, 2 F 2.20


# TaPt3F

An optimized crystal structure of TaPt3F (PBE, Alexandria).

Computed properties:
Final energy ... -5.80 eV per atom
SG ... Pm-3m (221)
ΔE to the lowest computed polymorph ... 0.00 kJ per mole of atoms
Energy relative to the elements, uncorrected ... 0.567 eV/atom

Unit cell a=4.3334 b=4.3334 c=4.3334 alpha=90.00 beta=90.00 gamma=90.00
With the nearest neighbours (Å) after each atom.
Atoms (fractional coordinates):
1 Ta 0.0000 0.0000 0.0000  12 Pt 3.06
2 Pt 0.0000 0.5000 0.5000  2 F 2.17
3 Pt 0.5000 0.0000 0.5000  2 F 2.17
4 Pt 0.5000 0.5000 0.0000  2 F 2.17
5 F 0.5000 0.5000 0.5000  6 Pt 2.17


# Ta3PtF

An optimized crystal structure of Ta3PtF (PBE, Alexandria).

Computed properties:
Final energy ... -8.68 eV per atom
SG ... Pm-3m (221)
ΔE to the lowest computed polymorph ... 0.00 kJ per mole of atoms
Energy relative to the elements, uncorrected ... 0.019 eV/atom

Unit cell a=4.2802 b=4.2802 c=4.2802 alpha=90.00 beta=90.00 gamma=90.00
With the nearest neighbours (Å) after each atom.
Atoms (fractional coordinates):
1 Ta 0.0000 0.0000 0.5000  2 F 2.14
2 Ta 0.0000 0.5000 0.0000  2 F 2.14
3 Ta 0.5000 0.0000 0.0000  2 F 2.14
4 Pt 0.5000 0.5000 0.5000  12 Ta 3.03
5 F 0.0000 0.0000 0.0000  6 Ta 2.14


# TaPtF2

An optimized crystal structure of TaPtF2 (PBE, Alexandria).

Computed properties:
Final energy ... -6.66 eV per atom
SG ... R-3m (166)
ΔE to the lowest computed polymorph ... 0.00 kJ per mole of atoms
Energy relative to the elements, uncorrected ... -1.255 eV/atom

Unit cell a=2.7474 b=2.7474 c=30.8273 alpha=90.00 beta=90.00 gamma=120.00
With the nearest neighbours (Å) after each atom.
Atoms (fractional coordinates):
1 Ta 0.0000 0.0000 0.0000  6 F 2.21
2 Ta 0.3333 0.6667 0.6667  6 F 2.21
3 Ta 0.6667 0.3333 0.3333  6 F 2.21
4 Pt 0.0000 0.0000 0.5000  6 Pt 2.75
5 Pt 0.3333 0.6667 0.1667  6 Pt 2.75
6 Pt 0.6667 0.3333 0.8333  6 Pt 2.75
7 F 0.0000 0.0000 0.3832  3 Ta 2.21
8 F 0.0000 0.0000 0.6168  3 Ta 2.21
9 F 0.3333 0.6667 0.0499  3 Ta 2.21
10 F 0.3333 0.6667 0.2835  3 Ta 2.21
11 F 0.6667 0.3333 0.7165  3 Ta 2.21
12 F 0.6667 0.3333 0.9501  3 Ta 2.21


# TaPtF3

An optimized crystal structure of TaPtF3 (PBE, Alexandria).

Computed properties:
Final energy ... -4.48 eV per atom
SG ... Pm-3m (221)
ΔE to the lowest computed polymorph ... 124.16 kJ per mole of atoms
Energy relative to the elements, uncorrected ... 0.224 eV/atom

Unit cell a=4.3526 b=4.3526 c=4.3526 alpha=90.00 beta=90.00 gamma=90.00
With the nearest neighbours (Å) after each atom.
Atoms (fractional coordinates):
1 Ta 0.0000 0.0000 0.0000  12 F 3.08
2 Pt 0.5000 0.5000 0.5000  6 F 2.18
3 F 0.0000 0.5000 0.5000  2 Pt 2.18
4 F 0.5000 0.0000 0.5000  2 Pt 2.18
5 F 0.5000 0.5000 0.0000  2 Pt 2.18


# TaPtF3

An optimized crystal structure of TaPtF3 (PBE, Alexandria).

Computed properties:
Final energy ... -5.76 eV per atom
SG ... Pm-3m (221)
ΔE to the lowest computed polymorph ... 0.00 kJ per mole of atoms
Energy relative to the elements, uncorrected ... -1.063 eV/atom

Unit cell a=4.1428 b=4.1428 c=4.1428 alpha=90.00 beta=90.00 gamma=90.00
With the nearest neighbours (Å) after each atom.
Atoms (fractional coordinates):
1 Ta 0.0000 0.0000 0.0000  6 F 2.07
2 Pt 0.5000 0.5000 0.5000  12 F 2.93
3 F 0.0000 0.0000 0.5000  2 Ta 2.07
4 F 0.0000 0.5000 0.0000  2 Ta 2.07
5 F 0.5000 0.0000 0.0000  2 Ta 2.07


| no. | ρ (Mg/m³) |
| --- | --- |
| 1 | 4.8 |
| 2 | 7.4 |
| 3 | 11.2 |
| 4 | 13.2 |
| 5 | 12.1 |
| 6 | 16.0 |
| 7 | 16.0 |
| 8 | 10.2 |
| 9 | 8.7 |
| 10 | 10.1 |